(1)
# Sr2TiO4 PBEsol optimized geometry
# Calculated volume ... 188.32 Å³/cell
# Density of states at the Fermi level ... 0.00 states/eV/cell
# Electronic total energy ... -7.823 eV per atom
# ΔE_f (raw) ... -21.76 eV per formula unit
# Crystal system ... tetragonal
data_Sr2TiO4
_cell_length_a 3.878
_cell_length_b 3.878
_cell_length_c 12.520
_cell_angle_alpha 90.00
_cell_angle_beta 90.00
_cell_angle_gamma 90.00
_space_group_name_H-M_alt 'I 4/m m m'
_space_group_IT_number 139
_space_group_name_Hall '-I 4 2'
loop_
_atom_site_label
_atom_site_fract_x
_atom_site_fract_y
_atom_site_fract_z
_atom_site_occupancy
Sr1 0.000 0.000 0.145 1
Ti1 0.000 0.000 0.500 1
O1 0.000 0.000 0.341 1
O2 0.000 0.500 0.000 1



(2)
# Be2Cl PBEsol optimized geometry
# Calculated volume ... 40.60 Å³/cell
# Density of states at the Fermi level ... 0.38 states/eV/cell
# Electronic total energy ... -2.937 eV per atom
# ΔE_f (raw) ... 1.20 eV per formula unit
# Crystal system ... tetragonal
data_Be2Cl
_cell_length_a 3.066
_cell_length_b 3.066
_cell_length_c 4.318
_cell_angle_alpha 90.00
_cell_angle_beta 90.00
_cell_angle_gamma 90.00
_space_group_name_H-M_alt 'P 4/m m m'
_space_group_IT_number 123
_space_group_name_Hall '-P 4 2'
loop_
_atom_site_label
_atom_site_fract_x
_atom_site_fract_y
_atom_site_fract_z
_atom_site_occupancy
Be1 0.000 0.500 0.000 1
Cl1 0.000 0.000 0.500 1



(3)
# Sm2VFe16 PBEsol optimized geometry
# Calculated volume ... 713.46 Å³/cell
# Energy of formation from the pure elements ... 0.16 eV/f.u.
# Density of states at the Fermi level ... 68.89 states/eV/cell
# Electronic total energy ... -8.583 eV per atom
# Crystal system ... trigonal
data_Sm2VFe16
_cell_length_a 8.2371
_cell_length_b 8.2371
_cell_length_c 12.1420
_cell_angle_alpha 90.00
_cell_angle_beta 90.00
_cell_angle_gamma 120.00
_space_group_name_H-M_alt 'R 3 m'
_space_group_IT_number 160
_space_group_name_Hall 'R 3 -2"'
loop_
_atom_site_label
_atom_site_fract_x
_atom_site_fract_y
_atom_site_fract_z
_atom_site_occupancy
Sm1 0.0000 0.0000 0.0000 1
Sm2 0.0000 0.0000 0.3142 1
V1 0.0000 0.0000 0.7427 1
Fe1 0.0000 0.0000 0.5620 1
Fe2 0.0002 0.2956 0.6547 1
Fe3 0.0028 0.5014 0.4939 1
Fe4 0.1672 0.3344 0.4889 1
Fe5 0.1678 0.3357 0.1490 1



(4)
# InRe2Os PBEsol optimized geometry
# Calculated volume ... 187.35 Å³/cell
# Energy of formation from the pure elements ... 1.25 eV/f.u.
# Density of states at the Fermi level ... 9.39 states/eV/cell
# Electronic total energy ... -10.154 eV per atom
# Crystal system ... trigonal
data_InRe2Os
_cell_length_a 2.8218
_cell_length_b 2.8218
_cell_length_c 27.1689
_cell_angle_alpha 90.00
_cell_angle_beta 90.00
_cell_angle_gamma 120.00
_space_group_name_H-M_alt 'R 3 m'
_space_group_IT_number 160
_space_group_name_Hall 'R 3 -2"'
loop_
_atom_site_label
_atom_site_fract_x
_atom_site_fract_y
_atom_site_fract_z
_atom_site_occupancy
In1 0.0000 0.0000 0.0000 1
Re1 0.0000 0.0000 0.2441 1
Re2 0.0000 0.0000 0.4990 1
Os1 0.0000 0.0000 0.7547 1



(5)
# TaTePb2 PBEsol optimized geometry
# Calculated volume ... 193.15 Å³/cell
# Density of states at the Fermi level ... 5.73 states/eV/cell
# Electronic total energy ... -5.459 eV per atom
# ΔE_f (raw) ... 2.24 eV per formula unit
# Crystal system ... orthorhombic
data_TaTePb2
_cell_length_a 6.524
_cell_length_b 9.020
_cell_length_c 3.282
_cell_angle_alpha 90.00
_cell_angle_beta 90.00
_cell_angle_gamma 90.00
_space_group_name_H-M_alt 'C m m m'
_space_group_IT_number 65
_space_group_name_Hall '-C 2 2'
loop_
_atom_site_label
_atom_site_fract_x
_atom_site_fract_y
_atom_site_fract_z
_atom_site_occupancy
Ta1 0.000 0.000 0.000 1
Te1 0.000 0.500 0.000 1
Pb1 0.250 0.250 0.500 1



(6)
# Li2ZrPPt PBEsol optimized geometry
# Calculated volume ... 83.00 Å³/cell
# Energy of formation from the pure elements ... -0.27 eV/f.u.
# Density of states at the Fermi level ... 3.89 states/eV/cell
# Electronic total energy ... -5.209 eV per atom
# Crystal system ... tetragonal
data_Li2ZrPPt
_cell_length_a 4.298
_cell_length_b 4.298
_cell_length_c 4.492
_cell_angle_alpha 90.00
_cell_angle_beta 90.00
_cell_angle_gamma 90.00
_space_group_name_H-M_alt 'P 4/m m m'
_space_group_IT_number 123
_space_group_name_Hall '-P 4 2'
loop_
_atom_site_label
_atom_site_fract_x
_atom_site_fract_y
_atom_site_fract_z
_atom_site_occupancy
Li1 0.000 0.500 0.000 1
Zr1 0.000 0.000 0.500 1
P1 0.500 0.500 0.000 1
Pt1 0.500 0.500 0.500 1